Entry from Alexandria via LeMat-Bulk: a relaxed TlCoRh crystal (PBE).

CIF file:
```
data_TlCoRh
_chemical_formula_sum 'Tl2 Co2 Rh2'
_cell_length_a 2.968
_cell_length_b 3.638
_cell_length_c 8.946
_cell_angle_alpha 90.00
_cell_angle_beta 90.00
_cell_angle_gamma 90.00
_symmetry_space_group_name_H-M 'I m m 2'
_symmetry_Int_Tables_number 44
loop_
_symmetry_equiv_pos_as_xyz
'x,y,z'
'-x,-y,z'
'-x,y,z'
'x,-y,z'
'x+1/2,y+1/2,z+1/2'
'-x+1/2,-y+1/2,z+1/2'
'-x+1/2,y+1/2,z+1/2'
'x+1/2,-y+1/2,z+1/2'
loop_
_atom_site_label
_atom_site_fract_x
_atom_site_fract_y
_atom_site_fract_z
_atom_site_occupancy
Tl1 0.000 0.000 0.000 1
Co1 0.000 0.000 0.682 1
Rh1 0.000 0.000 0.314 1
```

Calculated values
- calculated formation energy (eV/atom) = 0.346
- relative energy among the computed polymorphs (eV per atom) = 0.008

=====

Entry from Alexandria via LeMat-Bulk: a relaxed TlCoRh crystal (PBE).

CIF file:
```
data_TlCoRh
_chemical_formula_sum 'Tl4 Co4 Rh4'
_cell_length_a 5.981
_cell_length_b 5.981
_cell_length_c 5.981
_cell_angle_alpha 90.00
_cell_angle_beta 90.00
_cell_angle_gamma 90.00
_symmetry_space_group_name_H-M 'F -4 3 m'
_symmetry_Int_Tables_number 216
_symmetry_space_group_name_Hall 'F -4 2 3'
loop_
_atom_site_label
_atom_site_fract_x
_atom_site_fract_y
_atom_site_fract_z
_atom_site_occupancy
Tl1 0.000 0.000 0.000 1
Co1 0.250 0.250 0.250 1
Rh1 0.000 0.000 0.500 1
```

Calculated values
- calculated formation energy (eV/atom) = 0.444
- relative energy among the computed polymorphs (eV per atom) = 0.106

=====

Repeat the second record exactly.
Entry from Alexandria via LeMat-Bulk: a relaxed TlCoRh crystal (PBE).

CIF file:
```
data_TlCoRh
_chemical_formula_sum 'Tl4 Co4 Rh4'
_cell_length_a 5.981
_cell_length_b 5.981
_cell_length_c 5.981
_cell_angle_alpha 90.00
_cell_angle_beta 90.00
_cell_angle_gamma 90.00
_symmetry_space_group_name_H-M 'F -4 3 m'
_symmetry_Int_Tables_number 216
_symmetry_space_group_name_Hall 'F -4 2 3'
loop_
_atom_site_label
_atom_site_fract_x
_atom_site_fract_y
_atom_site_fract_z
_atom_site_occupancy
Tl1 0.000 0.000 0.000 1
Co1 0.250 0.250 0.250 1
Rh1 0.000 0.000 0.500 1
```

Calculated values
- calculated formation energy (eV/atom) = 0.444
- relative energy among the computed polymorphs (eV per atom) = 0.106